Compound: LiMoS2
Source: the Alexandria database
Functional: PBE-GGA
Structure: relaxed

The energy relative to the elements, uncorrected comes out at -0.005 eV/atom. For the magnetic moment, the calculation gives 0.000 μB per formula unit. As for the symmetry: R-3m. The crystal system is trigonal. For the total DFT energy (no corrections), the calculation gives -5.2552 eV per atom. The value obtained for the density of states at the Fermi level is 4.05 states/eV per cell. For the offset from the most stable computed form, the calculation gives 0.9824 eV/atom.

Cell lengths 8.264, 8.264, 8.264 Å; angles 21.44, 21.44, 21.44 degrees
Positions (direct):
Li  0.000  0.000  0.000
Mo  0.500  0.500  0.500
S  0.406  0.406  0.406
S  0.594  0.594  0.594

Compound: LiMoS3
Source: the Alexandria database
Functional: PBE-GGA
Structure: relaxed

The energy relative to the elements, uncorrected comes out at -0.660 eV/atom. For the magnetic moment, the calculation gives 0.000 μB per formula unit. As for the symmetry: P2_1/c. The crystal system is monoclinic. For the total DFT energy (no corrections), the calculation gives -5.6857 eV per atom. For the offset from the most stable computed form, the calculation gives 0.0000 eV/atom.

Cell lengths 8.050, 6.120, 9.318 Å; angles 90.00, 117.67, 90.00 degrees
Positions (direct):
Li  0.226  0.212  0.093
Li  0.226  0.288  0.593
Li  0.774  0.712  0.407
Li  0.774  0.788  0.907
Mo  0.416  0.705  0.514
Mo  0.416  0.795  0.014
Mo  0.584  0.205  0.986
Mo  0.584  0.295  0.486
S  0.120  0.663  0.459
S  0.120  0.837  0.959
S  0.303  0.076  0.388
S  0.303  0.424  0.888
S  0.416  0.562  0.285
S  0.416  0.938  0.785
S  0.584  0.062  0.215
S  0.584  0.438  0.715
S  0.697  0.576  0.112
S  0.697  0.924  0.612
S  0.880  0.163  0.041
S  0.880  0.337  0.541

Compound: Li2ScMoS
Source: the Alexandria database
Functional: PBE-GGA
Structure: relaxed

The energy relative to the elements, uncorrected comes out at 0.041 eV/atom. For the magnetic moment, the calculation gives 3.345 μB per formula unit. As for the symmetry: P4/mmm. The crystal system is tetragonal. For the total DFT energy (no corrections), the calculation gives -4.9821 eV per atom. The value obtained for the density of states at the Fermi level is 3.12 states/eV per cell.

Cell lengths 4.417, 4.417, 5.015 Å; angles 90.00, 90.00, 90.00 degrees
Positions (direct):
Li  0.000  0.500  0.000
Li  0.500  0.000  0.000
Sc  0.000  0.000  0.500
Mo  0.500  0.500  0.500
S  0.000  0.000  0.000

Compound: LiMo6Se6S2
Source: the Alexandria database
Functional: PBE-GGA
Structure: relaxed

The energy relative to the elements, uncorrected comes out at -0.644 eV/atom. For the magnetic moment, the calculation gives 0.000 μB per formula unit. As for the symmetry: P1. The crystal system is triclinic. For the total DFT energy (no corrections), the calculation gives -7.0484 eV per atom. The value obtained for the density of states at the Fermi level is 12.05 states/eV per cell.

Cell lengths 6.691, 6.721, 6.762 Å; angles 91.10, 93.33, 93.39 degrees
Positions (direct):
Li  0.000  0.000  0.000
Mo  0.087  0.561  0.510
Mo  0.275  0.232  0.646
Mo  0.319  0.597  0.866
Mo  0.409  0.427  0.332
Mo  0.457  0.781  0.548
Mo  0.639  0.464  0.690
Se  0.063  0.229  0.321
Se  0.241  0.753  0.221
Se  0.481  0.268  0.979
Se  0.606  0.142  0.486
Se  0.659  0.795  0.886
Se  0.993  0.381  0.842
S  0.146  0.871  0.699
S  0.728  0.624  0.382

Compound: LiMoSe2S
Source: the Alexandria database
Functional: PBE-GGA
Structure: relaxed

The energy relative to the elements, uncorrected comes out at 0.998 eV/atom. For the magnetic moment, the calculation gives 0.000 μB per formula unit. As for the symmetry: P4/mmm. The crystal system is tetragonal. For the total DFT energy (no corrections), the calculation gives -3.7705 eV per atom. The value obtained for the density of states at the Fermi level is 7.98 states/eV per cell.

Cell lengths 4.230, 4.230, 5.024 Å; angles 90.00, 90.00, 90.00 degrees
Positions (direct):
Li  0.000  0.000  0.000
Mo  0.000  0.000  0.500
Se  0.000  0.500  0.000
Se  0.500  0.000  0.000
S  0.500  0.500  0.500

Compound: LiMo6Se2S6
Source: the Alexandria database
Functional: PBE-GGA
Structure: relaxed

The energy relative to the elements, uncorrected comes out at -0.715 eV/atom. For the magnetic moment, the calculation gives 0.000 μB per formula unit. As for the symmetry: R-3. The crystal system is trigonal. For the total DFT energy (no corrections), the calculation gives -7.2905 eV per atom. The value obtained for the density of states at the Fermi level is 9.53 states/eV per cell.

Cell lengths 6.559, 6.559, 6.559 Å; angles 91.02, 91.02, 91.02 degrees
Positions (direct):
Li  0.000  0.000  0.000
Mo  0.218  0.556  0.410
Mo  0.410  0.218  0.556
Mo  0.444  0.590  0.782
Mo  0.556  0.410  0.218
Mo  0.590  0.782  0.444
Mo  0.782  0.444  0.590
Se  0.217  0.217  0.217
Se  0.783  0.783  0.783
S  0.131  0.386  0.731
S  0.269  0.869  0.614
S  0.386  0.731  0.131
S  0.614  0.269  0.869
S  0.731  0.131  0.386
S  0.869  0.614  0.269

Compound: LiSi2MoS
Source: the Alexandria database
Functional: PBE-GGA
Structure: relaxed

The energy relative to the elements, uncorrected comes out at 1.104 eV/atom. For the magnetic moment, the calculation gives 0.000 μB per formula unit. As for the symmetry: P4/mmm. The crystal system is tetragonal. For the total DFT energy (no corrections), the calculation gives -4.4395 eV per atom. The value obtained for the density of states at the Fermi level is 5.26 states/eV per cell.

Cell lengths 3.985, 3.985, 4.830 Å; angles 90.00, 90.00, 90.00 degrees
Positions (direct):
Li  0.000  0.000  0.000
Si  0.000  0.500  0.000
Si  0.500  0.000  0.000
Mo  0.000  0.000  0.500
S  0.500  0.500  0.500

Compound: Li2Tl3MoS6
Source: the Alexandria database
Functional: PBE-GGA
Structure: relaxed

The energy relative to the elements, uncorrected comes out at -0.533 eV/atom. For the magnetic moment, the calculation gives 0.000 μB per formula unit. As for the symmetry: C2/m. The crystal system is monoclinic. For the total DFT energy (no corrections), the calculation gives -4.4094 eV per atom. The value obtained for the density of states at the Fermi level is 3.17 states/eV per cell.

Cell lengths 6.648, 6.648, 7.059 Å; angles 99.00, 99.00, 119.67 degrees
Positions (direct):
Li  0.165  0.835  0.000
Li  0.835  0.165  0.000
Tl  0.000  0.000  0.500
Tl  0.337  0.663  0.500
Tl  0.663  0.337  0.500
Mo  0.500  0.500  0.000
S  0.134  0.435  0.796
S  0.265  0.265  0.204
S  0.435  0.134  0.796
S  0.565  0.866  0.204
S  0.735  0.735  0.796
S  0.866  0.565  0.204

Compound: LiSbMo4
Source: the Alexandria database
Functional: PBE-GGA
Structure: relaxed

The energy relative to the elements, uncorrected comes out at 0.461 eV/atom. For the magnetic moment, the calculation gives 0.000 μB per formula unit. As for the symmetry: F-43m. The crystal system is cubic. For the total DFT energy (no corrections), the calculation gives -7.7661 eV per atom. The value obtained for the density of states at the Fermi level is 4.62 states/eV per cell.

Cell lengths 5.302, 5.302, 5.302 Å; angles 60.00, 60.00, 60.00 degrees
Positions (direct):
Li  0.000  0.000  0.000
Sb  0.250  0.250  0.250
Mo  0.119  0.627  0.627
Mo  0.627  0.119  0.627
Mo  0.627  0.627  0.119
Mo  0.627  0.627  0.627

Compound: LiSb2Mo
Source: the Alexandria database
Functional: PBE-GGA
Structure: relaxed

The energy relative to the elements, uncorrected comes out at -0.092 eV/atom. For the magnetic moment, the calculation gives 0.000 μB per formula unit. As for the symmetry: R-3m. The crystal system is trigonal. For the total DFT energy (no corrections), the calculation gives -5.3391 eV per atom. The value obtained for the density of states at the Fermi level is 2.90 states/eV per cell. For the offset from the most stable computed form, the calculation gives 0.0105 eV/atom.

Cell lengths 8.671, 8.671, 8.671 Å; angles 22.75, 22.75, 22.75 degrees
Positions (direct):
Li  0.000  0.000  0.000
Sb  0.243  0.243  0.243
Sb  0.757  0.757  0.757
Mo  0.500  0.500  0.500

Compound: LiSb2Mo
Source: the Alexandria database
Functional: PBE-GGA
Structure: relaxed

The energy relative to the elements, uncorrected comes out at 0.085 eV/atom. For the magnetic moment, the calculation gives 0.000 μB per formula unit. As for the symmetry: P4mm. The crystal system is tetragonal. For the total DFT energy (no corrections), the calculation gives -5.1623 eV per atom. The value obtained for the density of states at the Fermi level is 2.48 states/eV per cell. For the offset from the most stable computed form, the calculation gives 0.1872 eV/atom.

Cell lengths 3.750, 3.750, 5.557 Å; angles 90.00, 90.00, 90.00 degrees
Positions (direct):
Li  0.000  0.000  0.000
Sb  0.000  0.000  0.479
Sb  0.500  0.500  0.815
Mo  0.500  0.500  0.296

Compound: LiSb2Mo
Source: the Alexandria database
Functional: PBE-GGA
Structure: relaxed

The energy relative to the elements, uncorrected comes out at 0.535 eV/atom. For the magnetic moment, the calculation gives 2.269 μB per formula unit. As for the symmetry: F-43m. The crystal system is cubic. For the total DFT energy (no corrections), the calculation gives -4.7124 eV per atom. The value obtained for the density of states at the Fermi level is 3.29 states/eV per cell. For the offset from the most stable computed form, the calculation gives 0.6372 eV/atom.

Cell lengths 4.908, 4.908, 4.908 Å; angles 60.00, 60.00, 60.00 degrees
Positions (direct):
Li  0.000  0.000  0.000
Sb  0.500  0.500  0.500
Sb  0.750  0.750  0.750
Mo  0.250  0.250  0.250